No. 1
Density functional theory data (PBE-GGA) for a geometry-optimized YAl2V structure.

Summary:
Energy of formation from the pure elements = 122 meV/atom
Polymorph energy (0 for the lowest one) = 0.239 eV/atom

Cell: 3.0100 3.0100 28.9003 Å, 90.00 90.00 120.00°
Last column: nearest neighbours and their distance in Å.
Space group R-3m (No. 166, hexagonal axes)
One atom of each set of equivalent atoms:
Y 0.0000 0.0000 0.0000 x3  6 Y 3.01, 6 Al 3.23
Al 0.0000 0.0000 0.2390 x6  3 V 2.72, 6 Al 3.01
V 0.0000 0.0000 0.5000 x3  6 Al 2.72, 6 V 3.01

---

No. 2
Density functional theory data (PBE-GGA) for a geometry-optimized Al2InRu structure.

Summary:
Energy of formation from the pure elements = -136 meV/atom

Cell: 3.1522 4.3868 4.8491 Å, 90.00 90.20 90.00°
Last column: nearest neighbours and their distance in Å.
Space group Pm (No. 6)
One atom of each set of equivalent atoms:
Al 0.0000 0.0000 0.0000 x1  2 Ru 2.57, 4 Al 2.79, 2 In 2.82
Al 0.4989 0.5000 0.8545 x1  2 Ru 2.56, 4 Al 2.79, 2 In 2.84-2.85
In 0.9968 0.5000 0.3659 x1  6 Al 2.82-2.95, 4 Ru 2.90, 2 In 3.15
Ru 0.4969 0.0000 0.5822 x1  4 Al 2.56-2.57

---

No. 3
Density functional theory data (PBE-GGA) for a geometry-optimized TaAlTeI2 structure.

Summary:
Polymorph energy (0 for the lowest one) = 0.601 eV/atom
Uncorrected formation energy = 0.966 eV per atom

Cell: 5.3331 5.3331 5.4585 Å, 90.00 90.00 90.00°
Last column: nearest neighbours and their distance in Å.
Space group P4/mmm (No. 123)
One atom of each set of equivalent atoms:
Ta 0.0000 0.0000 0.0000 x1  4 Te 3.77, 8 I 3.82
Al 0.5000 0.5000 0.5000 x1  4 I 2.67, 2 Te 2.73
Te 0.5000 0.5000 0.0000 x1  2 Al 2.73
I 0.0000 0.5000 0.5000 x2  2 Al 2.67

---

No. 4
Density functional theory data (PBE-GGA) for a geometry-optimized CrNiPt structure.

Summary:
Energy of formation from the pure elements = 36 meV/atom
Polymorph energy (0 for the lowest one) = 0.190 eV/atom

Cell: 2.6672 2.6672 6.3298 Å, 90.00 90.00 120.00°
Last column: nearest neighbours and their distance in Å.
Space group P3m1 (No. 156)
One atom of each set of equivalent atoms:
Cr 0.0000 0.0000 0.0000 x1  3 Ni 2.47, 3 Pt 2.65, 6 Cr 2.67
Ni 0.6667 0.3333 0.3048 x1  3 Cr 2.47, 6 Ni 2.67, 3 Pt 2.72
Pt 0.3333 0.6667 0.6590 x1  3 Cr 2.65, 6 Pt 2.67, 3 Ni 2.72

---

No. 5
Density functional theory data (PBE-GGA) for a geometry-optimized CdOsBr2 structure.

Summary:
Polymorph energy (0 for the lowest one) = 0.286 eV/atom
Uncorrected formation energy = 0.518 eV per atom

Cell: 3.0958 4.3892 7.3083 Å, 107.43 102.09 90.08°
Last column: nearest neighbours and their distance in Å.
Space group P1 (No. 1)
One atom of each set of equivalent atoms:
Cd 0.0000 0.0000 0.0000 x1  2 Os 2.81, 2 Br 2.89, 2 Cd 3.10
Os 0.3293 0.8279 0.6554 x1  5 Br 2.57-2.70, 2 Cd 2.81
Br 0.1410 0.6387 0.2773 x1  1 Os 2.57
Br 0.8102 0.3092 0.6181 x1  4 Os 2.69-2.70

---

No. 6
Density functional theory data (PBE-GGA) for a geometry-optimized TaNi2P structure.

Summary:
Energy of formation from the pure elements = -377 meV/atom

Cell: 2.8106 3.9056 4.7899 Å, 90.00 93.84 90.00°
Last column: nearest neighbours and their distance in Å.
Space group P2/m (No. 10)
One atom of each set of equivalent atoms:
Ta 0.0000 0.0000 0.0000 x1  8 Ni 2.68-2.69, 4 P 2.69-2.86, 2 Ta 2.81
Ni 0.4770 0.5000 0.7500 x2  2 P 2.29, 2 Ni 2.39-2.41
P 0.5000 0.0000 0.5000 x1  4 Ni 2.29